The following is a DFT calculation (PBE-GGA) of a geometry-optimized Ti3Ge2Pd8 structure.

Geometry as POSCAR:
```
Ti3Ge2Pd8
1.0
2.6373 1.5226 9.0924
-2.6373 1.5226 9.0924
0.0000 -3.0453 9.0924
Ti Ge Pd
3 2 8
Direct
0.0000 0.0000 0.0000
0.1896 0.1896 0.1896
0.8104 0.8104 0.8104
0.3685 0.3685 0.3685
0.6315 0.6315 0.6315
0.2220 0.7241 0.7241
0.2759 0.2759 0.7780
0.2759 0.7780 0.2759
0.2803 0.2803 0.2803
0.7197 0.7197 0.7197
0.7241 0.2220 0.7241
0.7241 0.7241 0.2220
0.7780 0.2759 0.2759
```

Its space group is R-3m (166). For the total moment, the calculation gives 1.612 μB/f.u. The total energy is -78.133 eV/cell.

The following is a DFT calculation (PBE-GGA) of a geometry-optimized Ti4Ge2Pd structure.

Geometry as POSCAR:
```
Ti4Ge2Pd
1.0
2.0727 1.1967 8.6045
-2.0727 1.1967 8.6045
0.0000 -2.3934 8.6045
Ti Ge Pd
4 2 1
Direct
0.1149 0.1149 0.1149
0.2981 0.2981 0.2981
0.7019 0.7019 0.7019
0.8851 0.8851 0.8851
0.4025 0.4025 0.4025
0.5975 0.5975 0.5975
0.5000 0.5000 0.5000
```

Its space group is R-3m (166). For the total moment, the calculation gives 0.012 μB/f.u. The total energy is -47.529 eV/cell.

The following is a DFT calculation (PBE-GGA) of a geometry-optimized Ti5GePd4 structure.

Geometry as POSCAR:
```
Ti5GePd4
1.0
9.3443 0.0000 0.0000
0.0000 10.4052 0.0000
0.0000 0.0000 3.4643
Ti Ge Pd
10 2 8
Direct
0.0787 0.0928 0.1956
0.0787 0.4072 0.1956
0.2500 0.2500 0.6480
0.4213 0.0928 0.1956
0.4213 0.4072 0.1956
0.5787 0.5928 0.8044
0.5787 0.9072 0.8044
0.7500 0.7500 0.3520
0.9213 0.5928 0.8044
0.9213 0.9072 0.8044
0.2500 0.7500 0.8375
0.7500 0.2500 0.1625
0.0536 0.7500 0.3155
0.2500 0.5248 0.6817
0.2500 0.9752 0.6817
0.4464 0.7500 0.3155
0.5536 0.2500 0.6845
0.7500 0.0248 0.3183
0.7500 0.4752 0.3183
0.9464 0.2500 0.6845
```

Its space group is Pmmn (59). For the total moment, the calculation gives 0.003 μB/f.u. The total energy is -135.890 eV/cell.

The following is a DFT calculation (PBE-GGA) of a geometry-optimized TiGePd5 structure.

Geometry as POSCAR:
```
TiGePd5
1.0
4.8452 -4.5219 0.0000
4.8452 4.5219 0.0000
-3.7028 0.0000 5.7341
Ti Ge Pd
2 2 10
Direct
0.0378 0.9622 0.7500
0.9622 0.0378 0.2500
0.5000 0.5000 0.0000
0.5000 0.5000 0.5000
0.0895 0.6921 0.0117
0.1135 0.2986 0.6821
0.2986 0.1135 0.1821
0.3079 0.9105 0.4883
0.3126 0.6874 0.7500
0.6874 0.3126 0.2500
0.6921 0.0895 0.5117
0.7014 0.8865 0.8179
0.8865 0.7014 0.3179
0.9105 0.3079 0.9883
```

Its space group is C2/c (15). For the total moment, the calculation gives 0.000 μB/f.u. The total energy is -79.290 eV/cell.

The following is a DFT calculation (PBE-GGA) of a geometry-optimized Ti2GePd2 structure.

Geometry as POSCAR:
```
Ti2GePd2
1.0
7.2966 0.0000 0.0000
0.0000 7.2966 0.0000
0.0000 0.0000 3.0743
Ti Ge Pd
4 2 4
Direct
0.1709 0.3291 0.0000
0.3291 0.8291 0.0000
0.6709 0.1709 0.0000
0.8291 0.6709 0.0000
0.0000 0.0000 0.5000
0.5000 0.5000 0.5000
0.1296 0.6296 0.5000
0.3704 0.1296 0.5000
0.6296 0.8704 0.5000
0.8704 0.3704 0.5000
```

For the distance to the lowest polymorph of the same formula, the calculation gives 0.000 eV per atom. Its space group is P4/mbm (127). For the total moment, the calculation gives 0.000 μB/f.u.

The following is a DFT calculation (PBE-GGA) of a geometry-optimized Ti6GePd5 structure.

Geometry as POSCAR:
```
Ti6GePd5
1.0
1.9891 -6.0373 0.0000
1.9891 6.0373 0.0000
0.0000 0.0000 7.7960
Ti Ge Pd
6 1 5
Direct
0.0000 0.0000 0.2492
0.0000 0.0000 0.7508
0.3334 0.6666 0.2496
0.3334 0.6666 0.7504
0.6666 0.3334 0.2496
0.6666 0.3334 0.7504
0.5000 0.5000 0.5000
0.1656 0.8344 0.5000
0.1672 0.8328 0.0000
0.5000 0.5000 0.0000
0.8328 0.1672 0.0000
0.8344 0.1656 0.5000
```

Its space group is Cmmm (65). For the total moment, the calculation gives 0.018 μB/f.u. The total energy is -84.237 eV/cell.